Ba3YBr: relaxed, PBE.

Values from the calculation:
As for the uncorrected formation energy: -0.31 eV/atom. As for the calculated density: 3.81 Mg/m³. The polymorph energy (0 for the lowest one) is 0 meV/atom.

Cell lengths 6.3246, 6.3246, 6.3246 Å; angles 90.00, 90.00, 90.00 degrees
Space group Pm-3m (No. 221)
Unique sites:
Ba1 0.0000 0.0000 0.5000 [3 per cell]
Y1 0.5000 0.5000 0.5000 [1 per cell]
Br1 0.0000 0.0000 0.0000 [1 per cell]

=====

KLa2Mn: relaxed, PBE.

Values from the calculation:
The formation energy is 2.7 eV per formula unit. As for the calculated density: 4.59 Mg/m³. The polymorph energy (0 for the lowest one) is 411 meV/atom.

Cell lengths 5.6580, 5.6580, 4.1983 Å; angles 90.00, 90.00, 90.00 degrees
Space group P4/mmm (No. 123)
Unique sites:
K1 0.0000 0.0000 0.0000 [1 per cell]
La1 0.0000 0.5000 0.5000 [2 per cell]
Mn1 0.5000 0.5000 0.0000 [1 per cell]

=====

KCrMo: relaxed, PBE.

Values from the calculation:
The formation energy is 3.1 eV per formula unit. As for the calculated density: 4.73 Mg/m³. The polymorph energy (0 for the lowest one) is 34 meV/atom.

Cell lengths 3.1206, 3.1206, 7.7782 Å; angles 90.00, 90.00, 120.00 degrees
Space group P3m1 (No. 156)
Unique sites:
K1 0.0000 0.0000 0.0000 [1 per cell]
Cr1 0.3333 0.6667 0.6023 [1 per cell]
Mo1 0.6667 0.3333 0.4090 [1 per cell]

=====

Mn2CoCl: relaxed, PBE.

Values from the calculation:
As for the uncorrected formation energy: 0.32 eV/atom. As for the calculated density: 5.67 Mg/m³. The polymorph energy (0 for the lowest one) is 301 meV/atom.

Cell lengths 2.9170, 2.9170, 7.0333 Å; angles 90.00, 90.00, 90.00 degrees
Space group P4mm (No. 99)
Unique sites:
Mn1 0.0000 0.0000 0.0000 [1 per cell]
Mn2 0.5000 0.5000 0.2353 [1 per cell]
Co1 0.5000 0.5000 0.8343 [1 per cell]
Cl1 0.0000 0.0000 0.4580 [1 per cell]

=====

SrMgBr4: relaxed, PBE.

Values from the calculation:
As for the uncorrected formation energy: -0.36 eV/atom. As for the calculated density: 3.65 Mg/m³. The polymorph energy (0 for the lowest one) is 1392 meV/atom.

Cell lengths 9.2271, 9.2271, 9.2271 Å; angles 90.00, 90.00, 90.00 degrees
Space group F-43m (No. 216)
Unique sites:
Sr1 0.0000 0.0000 0.0000 [4 per cell]
Mg1 0.2500 0.2500 0.2500 [4 per cell]
Br1 0.1245 0.1245 0.6245 [16 per cell]

=====

Sc2CrPt: relaxed, PBE.

Values from the calculation:
The formation energy is -1.3 eV per formula unit. As for the calculated density: 7.84 Mg/m³.

Cell lengths 6.5853, 6.5853, 6.5853 Å; angles 90.00, 90.00, 90.00 degrees
Space group F-43m (No. 216)
Unique sites:
Sc1 0.0000 0.0000 0.0000 [4 per cell]
Sc2 0.2500 0.2500 0.2500 [4 per cell]
Cr1 0.0000 0.0000 0.5000 [4 per cell]
Pt1 0.2500 0.2500 0.7500 [4 per cell]